Entry 1:
Below is crystalline YSb2P at its relaxed geometry, with properties calculated at the PBE level.

Unit cell a=4.124 b=4.124 c=5.802 alpha=90.00 beta=90.00 gamma=90.00
Fractional positions:
Y  0.000  0.000  0.000
Sb  0.500  0.500  0.259
Sb  0.500  0.500  0.741
P  0.000  0.000  0.500

Values from the calculation:
DOS(E_F): 2.30 states/eV/f.u.


Entry 2:
Below is crystalline YSb2P at its relaxed geometry, with properties calculated at the PBE level.

Unit cell a=4.168 b=4.168 c=6.348 alpha=90.00 beta=90.00 gamma=90.00
Fractional positions:
Y  0.000  0.000  0.000
Sb  0.000  0.000  0.503
Sb  0.500  0.500  0.613
P  0.500  0.500  0.018

Values from the calculation:
DOS(E_F): 1.54 states/eV/f.u.


Entry 3:
Below is crystalline YSb2P at its relaxed geometry, with properties calculated at the PBE level.

Unit cell a=6.197 b=6.197 c=6.197 alpha=140.03 beta=140.03 gamma=57.80
Fractional positions:
Y  0.000  0.000  0.000
Sb  0.250  0.750  0.500
Sb  0.750  0.250  0.500
P  0.500  0.500  0.000

Values from the calculation:
DOS(E_F): 2.06 states/eV/f.u.


Entry 4:
Below is crystalline YSb2P at its relaxed geometry, with properties calculated at the PBE level.

Unit cell a=4.155 b=4.155 c=5.788 alpha=90.00 beta=90.00 gamma=90.00
Fractional positions:
Y  0.000  0.000  0.000
Sb  0.000  0.500  0.500
Sb  0.500  0.000  0.500
P  0.500  0.500  0.000

Values from the calculation:
DOS(E_F): 1.80 states/eV/f.u.


In order of appearance, E = -5.3480; -5.6114; -5.4449; -5.3937 eV per atom.